Entry from Alexandria via LeMat-Bulk: La2TbY after structural relaxation (PBE-GGA).

## Properties
Formation energy from the elements ... 0.008 eV/atom
Excess energy over the best structure of this formula in the dataset ... 0 meV/atom

Cell lengths 3.6696, 3.6696, 11.9565 Å; angles 81.17, 81.17, 60.00 degrees
With the nearest neighbours (Å) after each atom.
Fractional coordinates of all 4 atoms:
Tb 0.0000 0.0000 0.0000  6 La 3.62, 6 Tb 3.67
La 0.2502 0.2502 0.2494  3 Tb 3.62, 3 Y 3.63, 6 La 3.67
Y 0.5000 0.5000 0.5000  6 La 3.63, 6 Y 3.67
La 0.7498 0.7498 0.7506  3 Tb 3.62, 3 Y 3.63, 6 La 3.67

Entry from Alexandria via LeMat-Bulk: PaCuAgBr6 after structural relaxation (PBE-GGA).

## Properties
Formation energy without anion corrections ... -0.889 eV/atom

Cell lengths 6.8781, 6.8781, 13.2765 Å; angles 90.00, 90.00, 120.00 degrees
With the nearest neighbours (Å) after each atom.
Fractional coordinates of all 18 atoms:
Pa 0.6667 0.3333 0.2500  6 Br 2.82
Br 0.9881 0.3385 0.6287  1 Cu 2.72, 1 Pa 2.82, 1 Ag 2.92
Br 0.6615 0.6496 0.6287  1 Cu 2.72, 1 Pa 2.82, 1 Ag 2.92
Br 0.6496 0.9881 0.3713  1 Cu 2.72, 1 Pa 2.82, 1 Ag 2.92
Br 0.6615 0.0119 0.8713  1 Cu 2.72, 1 Pa 2.82, 1 Ag 2.92
Br 0.9881 0.6496 0.8713  1 Cu 2.72, 1 Pa 2.82, 1 Ag 2.92
Br 0.0119 0.6615 0.3713  1 Cu 2.72, 1 Pa 2.82, 1 Ag 2.92
Ag 0.0000 0.0000 0.5000  6 Br 2.92
Br 0.6496 0.6615 0.1287  1 Cu 2.72, 1 Pa 2.82, 1 Ag 2.92
Br 0.0119 0.3504 0.1287  1 Cu 2.72, 1 Pa 2.82, 1 Ag 2.92
Br 0.3385 0.3504 0.3713  1 Cu 2.72, 1 Pa 2.82, 1 Ag 2.92
Br 0.3385 0.9881 0.1287  1 Cu 2.72, 1 Pa 2.82, 1 Ag 2.92
Br 0.3504 0.0119 0.6287  1 Cu 2.72, 1 Pa 2.82, 1 Ag 2.92
Br 0.3504 0.3385 0.8713  1 Cu 2.72, 1 Pa 2.82, 1 Ag 2.92
Ag 0.0000 0.0000 0.0000  6 Br 2.92
Cu 0.3333 0.6667 0.2500  6 Br 2.72
Cu 0.6667 0.3333 0.7500  6 Br 2.72
Pa 0.3333 0.6667 0.7500  6 Br 2.82